Record 1
Below is crystalline Sr2LaSc2 at its relaxed geometry, with properties calculated at the PBE level.

The structure in CIF format:
```
data_Sr2LaSc2
_cell_length_a 9.843
_cell_length_b 9.843
_cell_length_c 3.852
_cell_angle_alpha 90.00
_cell_angle_beta 90.00
_cell_angle_gamma 90.00
_symmetry_space_group_name_H-M 'P 4/m b m'
_symmetry_Int_Tables_number 127
_symmetry_space_group_name_Hall '-P 4 2ab'
loop_
_atom_site_label
_atom_site_fract_x
_atom_site_fract_y
_atom_site_fract_z
Sr1 0.181 0.319 0.000
La1 0.000 0.000 0.500
Sc1 0.111 0.611 0.500
```

---

Record 2
Below is crystalline SrLaSc at its relaxed geometry, with properties calculated at the PBE level.

The structure in CIF format:
```
data_SrLaSc
_cell_length_a 3.692
_cell_length_b 5.322
_cell_length_c 11.616
_cell_angle_alpha 90.00
_cell_angle_beta 99.10
_cell_angle_gamma 90.00
_symmetry_space_group_name_H-M 'P 1 m 1'
_symmetry_Int_Tables_number 6
loop_
_symmetry_equiv_pos_as_xyz
'x,y,z'
'x,-y,z'
loop_
_atom_site_label
_atom_site_fract_x
_atom_site_fract_y
_atom_site_fract_z
Sr1 0.000 0.000 0.000
Sr2 0.391 0.500 0.780
La1 0.166 0.000 0.332
La2 0.609 0.500 0.217
Sc1 0.243 0.500 0.488
Sc2 0.795 0.000 0.590
```

---

Record 3
Below is crystalline Sr2LaSc2 at its relaxed geometry, with properties calculated at the PBE level.

The structure in CIF format:
```
data_Sr2LaSc2
_cell_length_a 9.588
_cell_length_b 9.588
_cell_length_c 3.885
_cell_angle_alpha 90.00
_cell_angle_beta 90.00
_cell_angle_gamma 90.00
_symmetry_space_group_name_H-M 'P 4/m b m'
_symmetry_Int_Tables_number 127
_symmetry_space_group_name_Hall '-P 4 2ab'
loop_
_atom_site_label
_atom_site_fract_x
_atom_site_fract_y
_atom_site_fract_z
Sr1 0.133 0.367 0.000
La1 0.000 0.000 0.000
Sc1 0.167 0.667 0.500
```

---

Record 4
Below is crystalline SrLaSc at its relaxed geometry, with properties calculated at the PBE level.

The structure in CIF format:
```
data_SrLaSc
_cell_length_a 5.139
_cell_length_b 16.485
_cell_length_c 5.188
_cell_angle_alpha 90.00
_cell_angle_beta 90.00
_cell_angle_gamma 90.00
_symmetry_space_group_name_H-M 'C m c m'
_symmetry_Int_Tables_number 63
_symmetry_space_group_name_Hall '-C 2c 2'
loop_
_atom_site_label
_atom_site_fract_x
_atom_site_fract_y
_atom_site_fract_z
Sr1 0.000 0.248 0.250
La1 0.000 0.068 0.750
Sc1 0.000 0.434 0.750
```

---

Record 5
Below is crystalline SrLaSc at its relaxed geometry, with properties calculated at the PBE level.

The structure in CIF format:
```
data_SrLaSc
_cell_length_a 3.7108
_cell_length_b 3.7108
_cell_length_c 9.1315
_cell_angle_alpha 90.00
_cell_angle_beta 90.00
_cell_angle_gamma 120.00
_symmetry_space_group_name_H-M 'P 3 m 1'
_symmetry_Int_Tables_number 156
loop_
_symmetry_equiv_pos_as_xyz
'x,y,z'
'-y,x-y,z'
'-x+y,-x,z'
'-y,-x,z'
'-x+y,y,z'
'x,x-y,z'
loop_
_atom_site_label
_atom_site_fract_x
_atom_site_fract_y
_atom_site_fract_z
Sr1 0.0000 0.0000 0.0000
La1 0.6667 0.3333 0.3803
Sc1 0.3333 0.6667 0.6671
```

---

Record 6
Below is crystalline Sr2LaSc2 at its relaxed geometry, with properties calculated at the PBE level.

The structure in CIF format:
```
data_Sr2LaSc2
_cell_length_a 4.065
_cell_length_b 4.065
_cell_length_c 24.108
_cell_angle_alpha 90.00
_cell_angle_beta 90.00
_cell_angle_gamma 90.00
_symmetry_space_group_name_H-M 'I 4/m m m'
_symmetry_Int_Tables_number 139
_symmetry_space_group_name_Hall '-I 4 2'
loop_
_atom_site_label
_atom_site_fract_x
_atom_site_fract_y
_atom_site_fract_z
Sr1 0.000 0.000 0.119
La1 0.000 0.000 0.500
Sc1 0.000 0.500 0.250
```

---

Calculated V in order - 373.2 225.3 357.1 439.4 108.9 398.3 Å³/cell
Calculated E_tot in order - -3.796 -4.132 -3.774 -4.135 -4.108 -3.779 eV/atom
Calculated formation energy from the elements in order - 395 182 417 178 206 412 meV/atom